1.
# DySc4Zn5

A relaxed structure of DySc4Zn5 (PBE-GGA, Alexandria via LeMat-Bulk).

Properties
Formation energy from the elements in eV/atom: -0.36
DOS at the Fermi energy in states/eV/atom: 0.97
Calculated volume in Å³/f.u.: 195.4

a b c (Å): 3.3883 3.3883 17.0166
angles (deg): 90.00 90.00 90.00
Closest atoms and distances in Å follow each position.
Space group P4/mmm (No. 123)
One atom of each set of equivalent atoms:
Dy 0.0000 0.0000 0.0000 [1 per cell]  8 Zn 3.08, 4 Dy 3.39
Sc 0.0000 0.0000 0.2077 [2 per cell]  8 Zn 2.88-2.91
Sc 0.0000 0.0000 0.4028 [2 per cell]  8 Zn 2.91-2.92
Zn 0.5000 0.5000 0.1136 [2 per cell]  4 Sc 2.88, 4 Dy 3.08
Zn 0.5000 0.5000 0.3048 [2 per cell]  8 Sc 2.91-2.92, 1 Zn 3.25
Zn 0.5000 0.5000 0.5000 [1 per cell]  8 Sc 2.91

***

2.
# Dy4ScZn5

A relaxed structure of Dy4ScZn5 (PBE-GGA, Alexandria via LeMat-Bulk).

Properties
Formation energy from the elements in eV/atom: -0.34
DOS at the Fermi energy in states/eV/atom: 1.20
Calculated volume in Å³/f.u.: 219.3

a b c (Å): 3.5235 3.5235 17.6596
angles (deg): 90.00 90.00 90.00
Closest atoms and distances in Å follow each position.
Space group P4/mmm (No. 123)
One atom of each set of equivalent atoms:
Dy 0.0000 0.0000 0.1023 [2 per cell]  8 Zn 3.07-3.08
Dy 0.0000 0.0000 0.3061 [2 per cell]  8 Zn 3.08-3.12, 1 Sc 3.42
Sc 0.0000 0.0000 0.5000 [1 per cell]  8 Zn 2.93
Zn 0.5000 0.5000 0.0000 [1 per cell]  8 Dy 3.08
Zn 0.5000 0.5000 0.2040 [2 per cell]  8 Dy 3.07-3.08
Zn 0.5000 0.5000 0.4125 [2 per cell]  4 Sc 2.93, 1 Zn 3.09, 4 Dy 3.12

***

3.
# Dy2ScZn5

A relaxed structure of Dy2ScZn5 (PBE-GGA, Alexandria via LeMat-Bulk).

Properties
Formation energy from the elements in eV/atom: -0.31
DOS at the Fermi energy in states/eV/atom: 0.40
Calculated volume in Å³/f.u.: 154.9

a b c (Å): 4.7150 4.7150 13.9340
angles (deg): 90.00 90.00 90.00
Closest atoms and distances in Å follow each position.
Space group I4/mmm (No. 139)
One atom of each set of equivalent atoms:
Dy 0.0000 0.0000 0.2355 [4 per cell]  9 Zn 2.95-3.28
Sc 0.0000 0.0000 0.5000 [2 per cell]  8 Zn 2.80
Zn 0.0000 0.0000 0.0000 [2 per cell]  8 Zn 2.80
Zn 0.0000 0.5000 0.1089 [8 per cell]  2 Sc 2.80, 3 Zn 2.80-3.03, 2 Dy 2.95

***

4.
# Dy2ScZn3

A relaxed structure of Dy2ScZn3 (PBE-GGA, Alexandria via LeMat-Bulk).

Properties
Formation energy from the elements in eV/atom: -0.34
DOS at the Fermi energy in states/eV/atom: 1.13
Calculated volume in Å³/f.u.: 128.7

a b c (Å): 4.9421 4.9421 12.1709
angles (deg): 90.00 90.00 120.00
Closest atoms and distances in Å follow each position.
Space group P-3m1 (No. 164)
One atom of each set of equivalent atoms:
Dy 0.0000 0.0000 0.0000 [1 per cell]  8 Zn 3.05-3.11
Dy 0.0000 0.0000 0.5000 [1 per cell]  8 Zn 2.98-3.02
Dy 0.3333 0.6667 0.1730 [2 per cell]  8 Zn 3.00-3.18
Sc 0.3333 0.6667 0.6663 [2 per cell]  8 Zn 2.99-3.04
Zn 0.0000 0.0000 0.2554 [2 per cell]  5 Dy 2.98-3.11, 3 Sc 3.01
Zn 0.3333 0.6667 0.4192 [2 per cell]  4 Dy 3.00-3.02, 4 Sc 3.01-3.04
Zn 0.3333 0.6667 0.9119 [2 per cell]  1 Sc 2.99, 7 Dy 3.03-3.18

***

5.
# DySc3Zn8

A relaxed structure of DySc3Zn8 (PBE-GGA, Alexandria via LeMat-Bulk).

Properties
Formation energy from the elements in eV/atom: -0.33
DOS at the Fermi energy in states/eV/atom: 0.74
Calculated volume in Å³/f.u.: 211.2

a b c (Å): 5.3113 5.3113 25.9360
angles (deg): 90.00 90.00 120.00
Closest atoms and distances in Å follow each position.
Space group R3m (No. 160, hexagonal axes)
One atom of each set of equivalent atoms:
Dy 0.0000 0.0000 0.0000 [3 per cell]  12 Zn 3.12-3.16, 4 Sc 3.26-3.28
Sc 0.0000 0.0000 0.1256 [3 per cell]  12 Zn 3.04-3.11, 3 Sc 3.23, 1 Dy 3.26
Sc 0.0000 0.0000 0.4985 [3 per cell]  12 Zn 3.05-3.11, 4 Sc 3.20-3.23
Sc 0.0000 0.0000 0.6219 [3 per cell]  12 Zn 3.10-3.20, 1 Sc 3.20, 3 Dy 3.28
Zn 0.0000 0.0000 0.3115 [3 per cell]  6 Zn 2.67-2.68
Zn 0.0000 0.0000 0.8117 [3 per cell]  6 Zn 2.62-2.63
Zn 0.0018 0.5009 0.0633 [9 per cell]  6 Zn 2.62-2.68
Zn 0.1677 0.3354 0.8937 [9 per cell]  6 Zn 2.63-2.67

***

6.
# Dy3ScZn2

A relaxed structure of Dy3ScZn2 (PBE-GGA, Alexandria via LeMat-Bulk).

Properties
Formation energy from the elements in eV/atom: -0.21
DOS at the Fermi energy in states/eV/atom: 1.18
Calculated volume in Å³/f.u.: 147.4

a b c (Å): 3.5476 3.5476 11.7137
angles (deg): 90.00 90.00 90.00
Closest atoms and distances in Å follow each position.
Space group P4/mmm (No. 123)
One atom of each set of equivalent atoms:
Dy 0.0000 0.0000 0.0000 [1 per cell]  8 Zn 3.08
Dy 0.0000 0.0000 0.3026 [2 per cell]  4 Zn 3.06, 4 Sc 3.41
Sc 0.5000 0.5000 0.5000 [1 per cell]  8 Dy 3.41, 4 Sc 3.55
Zn 0.5000 0.5000 0.1523 [2 per cell]  8 Dy 3.06-3.08

***

7.
# Dy2ScZn4

A relaxed structure of Dy2ScZn4 (PBE-GGA, Alexandria via LeMat-Bulk).

Properties
Formation energy from the elements in eV/atom: -0.12
DOS at the Fermi energy in states/eV/atom: 0.76
Calculated volume in Å³/f.u.: 160.6

a b c (Å): 4.7855 4.7855 24.2921
angles (deg): 90.00 90.00 120.00
Closest atoms and distances in Å follow each position.
Space group R-3m (No. 166, hexagonal axes)
One atom of each set of equivalent atoms:
Dy 0.0000 0.0000 0.2459 [6 per cell]  8 Zn 2.91-3.03
Sc 0.0000 0.0000 0.0000 [3 per cell]  8 Zn 2.91-3.02
Zn 0.0000 0.0000 0.1244 [6 per cell]  4 Dy 2.91-2.95, 1 Sc 3.02
Zn 0.0000 0.0000 0.3706 [6 per cell]  3 Sc 2.91, 4 Dy 3.02-3.03

***

8.
# DyZrSc2

A relaxed structure of DyZrSc2 (PBE-GGA, Alexandria via LeMat-Bulk).

Properties
Formation energy from the elements in eV/atom: 0.06
DOS at the Fermi energy in states/eV/atom: 1.53
Calculated volume in Å³/f.u.: 101.2

a b c (Å): 4.6811 4.6811 4.6166
angles (deg): 90.00 90.00 90.00
Closest atoms and distances in Å follow each position.
Space group P4/mmm (No. 123)
One atom of each set of equivalent atoms:
Dy 0.0000 0.0000 0.0000 [1 per cell]  8 Sc 3.29, 4 Zr 3.31
Zr 0.5000 0.5000 0.0000 [1 per cell]  8 Sc 3.29, 4 Dy 3.31
Sc 0.0000 0.5000 0.5000 [2 per cell]  4 Zr 3.29, 4 Dy 3.29, 4 Sc 3.31

***

9.
# DyZr2Sc12

A relaxed structure of DyZr2Sc12 (PBE-GGA, Alexandria via LeMat-Bulk).

Properties
Formation energy from the elements in eV/atom: 0.75
DOS at the Fermi energy in states/eV/atom: 1.97
Calculated volume in Å³/f.u.: 399.0

a b c (Å): 7.1317 7.1317 15.6893
angles (deg): 90.00 90.00 90.00
Closest atoms and distances in Å follow each position.
Space group P4/nbm (No. 125, origin choice 2)
One atom of each set of equivalent atoms:
Dy 0.2500 0.7500 0.0000 [2 per cell]  8 Sc 2.99-3.02
Zr 0.2500 0.7500 0.2379 [4 per cell]  6 Sc 3.27-3.30
Sc 0.0015 0.5015 0.1045 [8 per cell]  2 Sc 2.72, 2 Dy 2.99-3.02
Sc 0.1005 0.6005 0.4250 [8 per cell]  6 Sc 3.02-3.18, 1 Zr 3.30
Sc 0.2500 0.2500 0.1692 [4 per cell]  5 Sc 2.58-2.72
Sc 0.2500 0.2500 0.3338 [4 per cell]  1 Sc 2.58

***

10.
# DyZrSc2

A relaxed structure of DyZrSc2 (PBE-GGA, Alexandria via LeMat-Bulk).

Properties
Formation energy from the elements in eV/atom: 0.05
DOS at the Fermi energy in states/eV/atom: 1.72
Calculated volume in Å³/f.u.: 102.3

a b c (Å): 3.3312 3.3312 31.9377
angles (deg): 90.00 90.00 120.00
Closest atoms and distances in Å follow each position.
Space group R3m (No. 160, hexagonal axes)
One atom of each set of equivalent atoms:
Dy 0.0000 0.0000 0.0000 [3 per cell]  6 Dy 3.33, 6 Sc 3.39-3.43
Zr 0.0000 0.0000 0.8346 [3 per cell]  6 Sc 3.15-3.17, 6 Zr 3.33
Sc 0.0000 0.0000 0.2460 [3 per cell]  3 Zr 3.15, 6 Sc 3.33, 3 Dy 3.39
Sc 0.0000 0.0000 0.4224 [3 per cell]  3 Zr 3.17, 6 Sc 3.33, 3 Dy 3.43

***

11.
# DyZr2Sc8

A relaxed structure of DyZr2Sc8 (PBE-GGA, Alexandria via LeMat-Bulk).

Properties
Formation energy from the elements in eV/atom: 0.15
DOS at the Fermi energy in states/eV/atom: 1.17
Calculated volume in Å³/f.u.: 275.7

a b c (Å): 8.4388 15.2385 5.4102
angles (deg): 90.00 127.58 90.00
Closest atoms and distances in Å follow each position.
Space group C2/m (No. 12)
One atom of each set of equivalent atoms:
Dy 0.0000 0.0000 0.0000 [2 per cell]  4 Sc 3.16-3.27
Zr 0.0000 0.3089 0.5000 [4 per cell]  10 Sc 3.12-3.36
Sc 0.0000 0.2074 0.0000 [4 per cell]  6 Sc 3.11-3.38, 4 Zr 3.12-3.36, 1 Dy 3.16
Sc 0.0425 0.5000 0.7758 [4 per cell]  2 Sc 2.61-2.92
Sc 0.2258 0.1286 0.7025 [8 per cell]  5 Sc 2.98-3.27, 2 Zr 3.14-3.25

***

12.
# DyZrSc2

A relaxed structure of DyZrSc2 (PBE-GGA, Alexandria via LeMat-Bulk).

Properties
Formation energy from the elements in eV/atom: 0.04
DOS at the Fermi energy in states/eV/atom: 1.41
Calculated volume in Å³/f.u.: 102.4

a b c (Å): 3.3319 3.3319 31.9582
angles (deg): 90.00 90.00 120.00
Closest atoms and distances in Å follow each position.
Space group R3m (No. 160, hexagonal axes)
One atom of each set of equivalent atoms:
Dy 0.0000 0.0000 0.0000 [3 per cell]  6 Dy 3.33, 6 Sc 3.39-3.42
Zr 0.0000 0.0000 0.8345 [3 per cell]  6 Sc 3.15-3.18, 6 Zr 3.33
Sc 0.0000 0.0000 0.4219 [3 per cell]  3 Zr 3.18, 6 Sc 3.33, 3 Dy 3.42
Sc 0.0000 0.0000 0.5793 [3 per cell]  3 Zr 3.15, 6 Sc 3.33, 3 Dy 3.39